No. 1
Density functional theory data (GGA-PBE) for a geometry-optimized Dy6YEr3Sc2 structure.

The structure in POSCAR format:
```
Dy6YEr3Sc2
1.0
-0.179 2.982 -5.262
2.266 -5.607 0.219
-11.014 -3.380 -0.383
Er Dy Sc Y
3 6 2 1
Direct
0.500 0.500 0.500 Er
0.833 0.167 0.500 Er
0.167 0.833 0.500 Er
0.746 0.746 0.246 Dy
0.581 0.918 0.754 Dy
0.254 0.254 0.754 Dy
0.082 0.419 0.246 Dy
0.918 0.581 0.754 Dy
0.419 0.082 0.246 Dy
0.333 0.667 0.000 Sc
0.667 0.333 0.000 Sc
0.000 0.000 0.000 Y
```

Computed properties:
Magnetization: 0.0 μB per formula unit
N(E_F): 17.37 states/eV per cell

***

No. 2
Density functional theory data (GGA-PBE) for a geometry-optimized DyY6Er3Sc2 structure.

The structure in POSCAR format:
```
DyY6Er3Sc2
1.0
-4.581 -3.114 -2.483
2.749 -2.110 4.984
-6.817 7.462 5.689
Dy Y Sc Er
1 6 2 3
Direct
0.000 0.000 0.000 Dy
0.082 0.418 0.246 Y
0.418 0.082 0.246 Y
0.582 0.918 0.754 Y
0.918 0.582 0.754 Y
0.253 0.253 0.754 Y
0.747 0.747 0.246 Y
0.333 0.667 0.000 Sc
0.667 0.333 0.000 Sc
0.167 0.833 0.500 Er
0.833 0.167 0.500 Er
0.500 0.500 0.500 Er
```

Computed properties:
Magnetization: 0.0 μB per formula unit
N(E_F): 18.72 states/eV per cell

***

No. 3
Density functional theory data (GGA-PBE) for a geometry-optimized Dy3YErSc structure.

The structure in POSCAR format:
```
Dy3YErSc
1.0
4.959 0.000 0.000
0.000 7.715 -1.162
0.000 -3.208 9.958
Dy Y Er Sc
6 2 2 2
Direct
0.750 0.381 0.210 Dy
0.750 0.367 0.542 Dy
0.250 0.619 0.790 Dy
0.750 0.874 0.044 Dy
0.250 0.126 0.956 Dy
0.250 0.633 0.458 Dy
0.250 0.123 0.296 Y
0.750 0.877 0.704 Y
0.750 0.373 0.873 Er
0.250 0.627 0.127 Er
0.750 0.878 0.378 Sc
0.250 0.122 0.622 Sc
```

Computed properties:
Magnetization: 0.0 μB per formula unit
N(E_F): 16.61 states/eV per cell

***

No. 4
Density functional theory data (GGA-PBE) for a geometry-optimized Dy2Y4Er2Sc structure.

The structure in POSCAR format:
```
Dy2Y4Er2Sc
1.0
-1.871 -2.506 1.701
1.630 -4.267 -8.221
6.869 -0.803 6.374
Sc Y Er Dy
1 4 2 2
Direct
0.000 0.000 0.000 Sc
0.518 0.036 0.329 Y
0.184 0.369 0.330 Y
0.816 0.631 0.670 Y
0.482 0.964 0.671 Y
0.335 0.670 0.002 Er
0.665 0.330 0.998 Er
0.149 0.297 0.667 Dy
0.851 0.703 0.333 Dy
```

Computed properties:
Magnetization: 0.0 μB per formula unit
N(E_F): 13.78 states/eV per cell

***

No. 5
Density functional theory data (GGA-PBE) for a geometry-optimized DyY6Er2Sc structure.

The structure in POSCAR format:
```
DyY6Er2Sc
1.0
9.019 -1.952 -2.026
0.751 8.432 -1.918
0.751 -2.229 8.355
Y Dy Sc Er
12 2 2 4
Direct
0.555 0.755 0.124 Y
0.188 0.564 0.004 Y
0.445 0.245 0.876 Y
0.115 0.706 0.493 Y
0.688 0.004 0.564 Y
0.812 0.436 0.996 Y
0.385 0.507 0.294 Y
0.312 0.996 0.436 Y
0.055 0.124 0.755 Y
0.615 0.493 0.706 Y
0.885 0.294 0.507 Y
0.945 0.876 0.245 Y
0.750 0.023 0.977 Dy
0.250 0.977 0.023 Dy
0.750 0.587 0.413 Sc
0.250 0.413 0.587 Sc
0.049 0.302 0.200 Er
0.951 0.698 0.800 Er
0.549 0.200 0.302 Er
0.451 0.800 0.698 Er
```

Computed properties:
Magnetization: 0.0 μB per formula unit
N(E_F): 29.57 states/eV per cell

***

No. 6
Density functional theory data (GGA-PBE) for a geometry-optimized Dy3Y6ErSc2 structure.

The structure in POSCAR format:
```
Dy3Y6ErSc2
1.0
6.085 0.002 0.002
-3.039 5.271 0.002
-1.017 -1.761 11.429
Y Dy Sc Er
6 3 2 1
Direct
0.417 0.082 0.244 Y
0.583 0.918 0.756 Y
0.082 0.417 0.244 Y
0.746 0.746 0.244 Y
0.918 0.583 0.756 Y
0.254 0.254 0.756 Y
0.167 0.833 0.500 Dy
0.500 0.500 0.500 Dy
0.833 0.167 0.500 Dy
0.667 0.333 0.000 Sc
0.333 0.667 0.000 Sc
0.000 0.000 0.000 Er
```

Computed properties:
Magnetization: 0.0 μB per formula unit
N(E_F): 18.80 states/eV per cell

***

Formation enthalpy at 0 K values, unit eV/atom, following the record order: 0.037, 0.045, 0.038, 0.021, 0.127, 0.044.